No. 1
CoNi2PbN | PBE-GGA | optimized geometry

Unit cell a=4.0055 b=4.0055 c=3.8709 alpha=90.00 beta=90.00 gamma=90.00
Each line ends with the local moment (μB).
Sites, in units of the cell vectors:
Ni 0.5000 0.0000 0.0000  0.24
Ni 0.0000 0.5000 0.0000  0.24
N 0.0000 0.0000 0.0000  0.10
Pb 0.5000 0.5000 0.5000  0.05
Co 0.0000 0.0000 0.5000  1.31

Properties
formation energy (no corrections)	18.2	kJ/mol of atoms
crystal system	tetragonal
D(E_F)	4.742	states/eV/cell

No. 2
Co2NiPdN | PBE-GGA | optimized geometry

Unit cell a=3.7165 b=3.7165 c=4.1558 alpha=90.00 beta=90.00 gamma=90.00
Each line ends with the local moment (μB).
Sites, in units of the cell vectors:
Ni 0.5000 0.5000 0.5000  0.86
Co 0.5000 0.0000 0.0000  1.43
Co 0.0000 0.5000 0.0000  1.43
Pd 0.0000 0.0000 0.5000  0.20
N 0.0000 0.0000 0.0000  0.07

Properties
formation energy (no corrections)	20.1	kJ/mol of atoms
crystal system	tetragonal
energy relative to the lowest polymorph listed for this composition	0.1937	eV/atom
D(E_F)	6.771	states/eV/cell

No. 3
Co2NiPdN | PBE-GGA | optimized geometry

Unit cell a=3.7892 b=3.7892 c=3.8348 alpha=90.00 beta=90.00 gamma=90.00
Each line ends with the local moment (μB).
Sites, in units of the cell vectors:
N 0.0000 0.0000 0.0000  0.07
Pd 0.5000 0.5000 0.5000  0.31
Ni 0.0000 0.0000 0.5000  0.56
Co 0.5000 0.0000 0.0000  1.61
Co 0.0000 0.5000 0.0000  1.61

Properties
formation energy (no corrections)	1.4	kJ/mol of atoms
crystal system	tetragonal
energy relative to the lowest polymorph listed for this composition	0.0000	eV/atom
D(E_F)	5.991	states/eV/cell

No. 4
CoNi2PdN | PBE-GGA | optimized geometry

Unit cell a=3.8172 b=3.8172 c=3.7721 alpha=90.00 beta=90.00 gamma=90.00
Each line ends with the local moment (μB).
Sites, in units of the cell vectors:
Ni 0.0000 0.5000 0.0000  0.52
Ni 0.5000 0.0000 0.0000  0.52
Co 0.0000 0.0000 0.5000  1.66
Pd 0.5000 0.5000 0.5000  0.29
N 0.0000 0.0000 0.0000  0.07

Properties
formation energy (no corrections)	1.3	kJ/mol of atoms
crystal system	tetragonal
D(E_F)	5.909	states/eV/cell

No. 5
CoNi2PtN | PBE-GGA | optimized geometry

Unit cell a=3.8294 b=3.8294 c=3.7599 alpha=90.00 beta=90.00 gamma=90.00
Each line ends with the local moment (μB).
Sites, in units of the cell vectors:
Co 0.0000 0.0000 0.5000  1.61
Ni 0.0000 0.5000 0.0000  0.46
Ni 0.5000 0.0000 0.0000  0.46
Pt 0.5000 0.5000 0.5000  0.33
N 0.0000 0.0000 0.0000  0.07

Properties
formation energy (no corrections)	0.7	kJ/mol of atoms
crystal system	tetragonal
D(E_F)	5.737	states/eV/cell

No. 6
RbCoNiN2 | PBE-GGA | optimized geometry

Unit cell a=4.4514 b=4.8586 c=4.4514 alpha=90.00 beta=90.00 gamma=90.00
Each line ends with the local moment (μB).
Sites, in units of the cell vectors:
Ni 0.5000 0.5000 0.5000  0.98
N 0.5000 0.0000 0.0000  0.72
N 0.0000 0.0000 0.5000  0.72
Co 0.0000 0.5000 0.0000  1.97
Rb 0.0000 0.0000 0.0000  0.00

Properties
formation energy (no corrections)	323.6	kJ/mol of atoms
crystal system	tetragonal
D(E_F)	7.175	states/eV/cell

No. 7
Co2ReNiN | PBE-GGA | optimized geometry

Unit cell a=3.7539 b=3.7539 c=3.9564 alpha=90.00 beta=90.00 gamma=90.00
Each line ends with the local moment (μB).
Sites, in units of the cell vectors:
Co 0.5000 0.0000 0.0000  1.23
Co 0.0000 0.5000 0.0000  1.23
Ni 0.5000 0.5000 0.5000  0.66
Re 0.0000 0.0000 0.5000  0.28
N 0.0000 0.0000 0.0000  0.00

Properties
formation energy (no corrections)	13.8	kJ/mol of atoms
crystal system	tetragonal
D(E_F)	5.482	states/eV/cell

No. 8
Co2NiRhN | PBE-GGA | optimized geometry

Unit cell a=3.7792 b=3.7792 c=3.8175 alpha=90.00 beta=90.00 gamma=90.00
Each line ends with the local moment (μB).
Sites, in units of the cell vectors:
Co 0.5000 0.0000 0.0000  1.64
Co 0.0000 0.5000 0.0000  1.64
Ni 0.0000 0.0000 0.5000  0.58
Rh 0.5000 0.5000 0.5000  0.94
N 0.0000 0.0000 0.0000  0.07

Properties
formation energy (no corrections)	10.4	kJ/mol of atoms
crystal system	tetragonal
energy relative to the lowest polymorph listed for this composition	0.0000	eV/atom
D(E_F)	8.861	states/eV/cell